(1)
Below is a relaxed structure of Ti3BRh, with properties calculated at the PBE-GGA level.

Computed properties:
- E_tot (eV/atom) = -7.779
- crystal system = cubic
- SG = Pm-3m (221)
- formation energy from the elements (kJ per mole of atoms) = -22.8

a b c (Å): 4.223 4.223 4.223
angles (deg): 90.00 90.00 90.00
Fractional positions:
Ti 0.000 0.500 0.000
Ti 0.500 0.000 0.000
Ti 0.000 0.000 0.500
B 0.000 0.000 0.000
Rh 0.500 0.500 0.500

(2)
Below is a relaxed structure of Y2TiB2Rh5, with properties calculated at the PBE-GGA level.

Computed properties:
- E_tot (eV/atom) = -7.883
- crystal system = tetragonal
- SG = P4/mbm (127)
- formation energy from the elements (kJ per mole of atoms) = -76.2

a b c (Å): 3.212 9.565 9.565
angles (deg): 90.00 90.00 90.00
Fractional positions:
Rh 0.500 0.780 0.930
Y 0.000 0.175 0.325
Y 0.000 0.825 0.675
Rh 0.500 0.930 0.220
B 0.000 0.879 0.379
Rh 0.500 0.220 0.070
B 0.000 0.621 0.879
Y 0.000 0.675 0.175
Rh 0.500 0.070 0.780
B 0.000 0.121 0.621
Rh 0.500 0.570 0.720
Ti 0.000 0.000 0.000
Y 0.000 0.325 0.825
Rh 0.500 0.280 0.570
Rh 0.500 0.720 0.430
B 0.000 0.379 0.121
Ti 0.000 0.500 0.500
Rh 0.500 0.500 0.000
Rh 0.500 0.430 0.280
Rh 0.500 0.000 0.500

(3)
Below is a relaxed structure of TlBRh2, with properties calculated at the PBE-GGA level.

Computed properties:
- E_tot (eV/atom) = -6.132
- crystal system = trigonal
- SG = R-3m (166)
- formation energy from the elements (kJ per mole of atoms) = -18.8

a b c (Å): 3.222 3.222 6.893
angles (deg): 76.48 76.48 60.00
Fractional positions:
B 0.500 0.500 0.500
Rh 0.221 0.221 0.336
Tl 0.000 0.000 0.000
Rh 0.779 0.779 0.664

(4)
Below is a relaxed structure of TlBRh2, with properties calculated at the PBE-GGA level.

Computed properties:
- E_tot (eV/atom) = -5.972
- crystal system = tetragonal
- SG = I-42d (122)
- formation energy from the elements (kJ per mole of atoms) = -3.4

a b c (Å): 6.556 6.556 5.438
angles (deg): 52.93 52.93 90.00
Fractional positions:
Rh 0.224 0.625 0.250
Tl 0.000 0.000 0.000
Rh 0.375 0.474 0.750
Rh 0.526 0.125 0.250
Tl 0.750 0.250 0.500
Rh 0.875 0.776 0.750
B 0.500 0.500 0.000
B 0.250 0.750 0.500

(5)
Below is a relaxed structure of Tl2BRh, with properties calculated at the PBE-GGA level.

Computed properties:
- E_tot (eV/atom) = -3.652
- crystal system = cubic
- SG = Fm-3m (225)
- formation energy from the elements (kJ per mole of atoms) = 100.2

a b c (Å): 4.735 4.735 4.735
angles (deg): 60.00 60.00 60.00
Fractional positions:
B 0.000 0.000 0.000
Tl 0.250 0.250 0.250
Tl 0.750 0.750 0.750
Rh 0.500 0.500 0.500

(6)
Below is a relaxed structure of TlB2Rh, with properties calculated at the PBE-GGA level.

Computed properties:
- E_tot (eV/atom) = -5.243
- crystal system = tetragonal
- SG = I4_1/amd (141)
- formation energy from the elements (kJ per mole of atoms) = 50.6

a b c (Å): 3.865 3.865 8.150
angles (deg): 76.28 76.28 90.00
Fractional positions:
Rh 0.500 0.500 0.000
B 0.375 0.125 0.250
Tl 0.750 0.250 0.500
Rh 0.250 0.750 0.500
B 0.875 0.625 0.750
B 0.375 0.625 0.250
B 0.375 0.625 0.750
Tl 0.000 0.000 0.000

(7)
Below is a relaxed structure of TlBRh2, with properties calculated at the PBE-GGA level.

Computed properties:
- E_tot (eV/atom) = -5.316
- crystal system = cubic
- SG = Fm-3m (225)
- formation energy from the elements (kJ per mole of atoms) = 59.9

a b c (Å): 4.357 4.357 4.357
angles (deg): 60.00 60.00 60.00
Fractional positions:
Tl 0.500 0.500 0.500
B 0.000 0.000 0.000
Rh 0.750 0.750 0.750
Rh 0.250 0.250 0.250

(8)
Below is a relaxed structure of TlBRh2, with properties calculated at the PBE-GGA level.

Computed properties:
- E_tot (eV/atom) = -6.121
- crystal system = monoclinic
- SG = Cm (8)
- formation energy from the elements (kJ per mole of atoms) = -17.8

a b c (Å): 3.243 3.243 6.824
angles (deg): 76.48 76.48 60.14
Fractional positions:
Rh 0.053 0.053 0.839
Tl 0.500 0.500 0.500
Rh 0.279 0.279 0.163
B 0.667 0.667 0.998

(9)
Below is a relaxed structure of TlB6Rh12, with properties calculated at the PBE-GGA level.

Computed properties:
- E_tot (eV/atom) = -7.045
- crystal system = trigonal
- SG = R-3m (166)
- formation energy from the elements (kJ per mole of atoms) = -16.3

a b c (Å): 6.527 6.527 6.527
angles (deg): 104.61 104.61 104.61
Fractional positions:
B 0.239 0.673 0.239
B 0.239 0.239 0.673
Rh 0.134 0.500 0.866
Rh 0.184 0.450 0.450
B 0.327 0.761 0.761
Rh 0.134 0.866 0.500
Rh 0.450 0.450 0.184
Rh 0.550 0.550 0.816
B 0.673 0.239 0.239
Rh 0.816 0.550 0.550
Rh 0.450 0.184 0.450
Rh 0.866 0.134 0.500
B 0.761 0.761 0.327
Rh 0.866 0.500 0.134
Rh 0.500 0.134 0.866
Tl 0.000 0.000 0.000
B 0.761 0.327 0.761
Rh 0.500 0.866 0.134
Rh 0.550 0.816 0.550

(10)
Below is a relaxed structure of TlBRh2, with properties calculated at the PBE-GGA level.

Computed properties:
- E_tot (eV/atom) = -6.090
- crystal system = monoclinic
- SG = P2_1/m (11)
- formation energy from the elements (kJ per mole of atoms) = -14.8

a b c (Å): 3.236 4.334 9.159
angles (deg): 90.00 110.67 90.00
Fractional positions:
Tl 0.132 0.750 0.884
Rh 0.198 0.250 0.448
B 0.142 0.750 0.390
Rh 0.479 0.750 0.226
Tl 0.868 0.250 0.116
B 0.858 0.250 0.610
Rh 0.521 0.250 0.774
Rh 0.802 0.750 0.552

(11)
Below is a relaxed structure of TlB3Rh, with properties calculated at the PBE-GGA level.

Computed properties:
- E_tot (eV/atom) = -3.185
- crystal system = cubic
- SG = Pm-3m (221)
- formation energy from the elements (kJ per mole of atoms) = 266.8

a b c (Å): 4.379 4.379 4.379
angles (deg): 90.00 90.00 90.00
Fractional positions:
B 0.500 0.000 0.000
Tl 0.000 0.000 0.000
B 0.000 0.000 0.500
Rh 0.500 0.500 0.500
B 0.000 0.500 0.000

(12)
Below is a relaxed structure of TlB2Rh, with properties calculated at the PBE-GGA level.

Computed properties:
- E_tot (eV/atom) = -4.392
- crystal system = cubic
- SG = Fm-3m (225)
- formation energy from the elements (kJ per mole of atoms) = 132.8

a b c (Å): 4.171 4.171 4.171
angles (deg): 60.00 60.00 60.00
Fractional positions:
B 0.750 0.750 0.750
B 0.250 0.250 0.250
Tl 0.500 0.500 0.500
Rh 0.000 0.000 0.000

(13)
Below is a relaxed structure of TlB3Rh, with properties calculated at the PBE-GGA level.

Computed properties:
- E_tot (eV/atom) = -4.894
- crystal system = cubic
- SG = Pm-3m (221)
- formation energy from the elements (kJ per mole of atoms) = 101.8

a b c (Å): 4.209 4.209 4.209
angles (deg): 90.00 90.00 90.00
Fractional positions:
B 0.500 0.000 0.000
B 0.000 0.000 0.500
Tl 0.500 0.500 0.500
B 0.000 0.500 0.000
Rh 0.000 0.000 0.000

(14)
Below is a relaxed structure of TlB2Rh4, with properties calculated at the PBE-GGA level.

Computed properties:
- E_tot (eV/atom) = -6.485
- crystal system = monoclinic
- SG = Cc (9)
- formation energy from the elements (kJ per mole of atoms) = -3.7

a b c (Å): 5.490 5.490 7.685
angles (deg): 110.83 110.83 90.45
Fractional positions:
B 0.605 0.337 0.207
Tl 0.996 0.999 0.000
Rh 0.435 0.177 0.858
Tl 0.249 0.746 0.500
Rh 0.826 0.069 0.641
Rh 0.825 0.588 0.150
Rh 0.838 0.575 0.650
Rh 0.925 0.189 0.350
Rh 0.427 0.185 0.358
Rh 0.439 0.675 0.850
Rh 0.319 0.576 0.141
B 0.131 0.398 0.793
B 0.587 0.355 0.707
B 0.648 0.881 0.293

(15)
Below is a relaxed structure of TlB3Rh6, with properties calculated at the PBE-GGA level.

Computed properties:
- E_tot (eV/atom) = -6.781
- crystal system = trigonal
- SG = R3 (146)
- formation energy from the elements (kJ per mole of atoms) = -12.6

a b c (Å): 5.566 5.566 5.962
angles (deg): 90.00 117.83 120.00
Fractional positions:
B 0.283 0.141 0.424
Rh 0.344 0.436 0.727
B 0.352 0.676 0.028
Rh 0.818 0.078 0.225
Rh 0.820 0.383 0.727
Rh 0.147 0.740 0.225
B 0.674 0.337 0.011
Tl 0.787 0.893 0.680
Rh 0.291 0.907 0.727
Rh 0.485 0.407 0.225

(16)
Below is a relaxed structure of Tl2BRh, with properties calculated at the PBE-GGA level.

Computed properties:
- E_tot (eV/atom) = -3.694
- crystal system = tetragonal
- SG = I-42d (122)
- formation energy from the elements (kJ per mole of atoms) = 96.1

a b c (Å): 7.064 7.064 5.839
angles (deg): 52.78 52.78 90.00
Fractional positions:
Tl 0.582 0.125 0.250
Tl 0.375 0.418 0.750
Rh 0.750 0.250 0.500
Tl 0.168 0.625 0.250
Tl 0.875 0.832 0.750
B 0.500 0.500 0.000
B 0.250 0.750 0.500
Rh 0.000 0.000 0.000

(17)
Below is a relaxed structure of Tm4TlB3Rh12, with properties calculated at the PBE-GGA level.

Computed properties:
- E_tot (eV/atom) = -6.889
- crystal system = cubic
- SG = Im-3m (229)
- formation energy from the elements (kJ per mole of atoms) = -44.8

a b c (Å): 7.557 7.557 7.557
angles (deg): 109.47 109.47 109.47
Fractional positions:
B 0.000 0.500 0.500
Rh 0.000 0.283 0.283
Rh 0.250 0.750 0.500
Rh 0.750 0.250 0.500
Tm 0.500 0.000 0.000
B 0.500 0.500 0.000
B 0.500 0.000 0.500
Rh 0.283 0.283 0.000
Rh 0.717 0.717 0.000
Rh 0.250 0.500 0.750
Tm 0.000 0.000 0.500
Rh 0.717 0.000 0.717
Tm 0.000 0.500 0.000
Rh 0.283 0.000 0.283
Rh 0.500 0.750 0.250
Tm 0.500 0.500 0.500
Rh 0.500 0.250 0.750
Tl 0.000 0.000 0.000
Rh 0.000 0.717 0.717
Rh 0.750 0.500 0.250

(18)
Below is a relaxed structure of Tl2BRhW, with properties calculated at the PBE-GGA level.

Computed properties:
- E_tot (eV/atom) = -4.472
- crystal system = tetragonal
- SG = P4/mmm (123)
- formation energy from the elements (kJ per mole of atoms) = 180.5

a b c (Å): 5.435 4.665 5.435
angles (deg): 90.00 90.00 90.00
Fractional positions:
Tl 0.500 0.000 0.000
Tl 0.000 0.000 0.500
Rh 0.000 0.500 0.000
B 0.500 0.500 0.500
W 0.000 0.000 0.000

(19)
Below is a relaxed structure of Y2TlBRh, with properties calculated at the PBE-GGA level.

Computed properties:
- E_tot (eV/atom) = -6.317
- crystal system = tetragonal
- SG = P4/mmm (123)
- formation energy from the elements (kJ per mole of atoms) = -43.6

a b c (Å): 5.151 5.151 4.034
angles (deg): 90.00 90.00 90.00
Fractional positions:
Tl 0.500 0.500 0.500
Y 0.000 0.500 0.000
B 0.000 0.000 0.000
Rh 0.000 0.000 0.500
Y 0.500 0.000 0.000

(20)
Below is a relaxed structure of Y2TlB2Rh5, with properties calculated at the PBE-GGA level.

Computed properties:
- E_tot (eV/atom) = -7.224
- crystal system = tetragonal
- SG = P4/mbm (127)
- formation energy from the elements (kJ per mole of atoms) = -66.0

a b c (Å): 3.262 9.704 9.704
angles (deg): 90.00 90.00 90.00
Fractional positions:
Rh 0.500 0.229 0.071
Tl 0.000 0.500 0.500
Rh 0.500 0.000 0.500
Y 0.000 0.824 0.676
B 0.000 0.879 0.379
B 0.000 0.379 0.121
Rh 0.500 0.429 0.271
Rh 0.500 0.929 0.229
B 0.000 0.121 0.621
Y 0.000 0.676 0.176
Rh 0.500 0.729 0.429
Y 0.000 0.324 0.824
Rh 0.500 0.271 0.571
Rh 0.500 0.500 0.000
Rh 0.500 0.071 0.771
Y 0.000 0.176 0.324
Rh 0.500 0.571 0.729
Rh 0.500 0.771 0.929
Tl 0.000 0.000 0.000
B 0.000 0.621 0.879